Record 1
VASP calculation (GGA-PBE) on a geometry-optimized Er6CuRu2 structure.

Cell: 8.2870 8.2870 8.2870 Å, 104.29 112.18 112.07°
Closest atoms and distances in Å follow each position.
Fractional positions:
Er: 0.5461 0.7244 0.8217  3 Ru 2.86-2.95, 1 Cu 3.04
Er: 0.4539 0.2756 0.1783  3 Ru 2.86-2.95, 1 Cu 3.04
Er: 0.0974 0.2756 0.8217  3 Ru 2.86-2.95, 1 Cu 3.04
Er: 0.9026 0.7244 0.1783  3 Ru 2.86-2.95, 1 Cu 3.04
Er: 0.8073 0.7537 0.5610  1 Ru 2.76, 1 Cu 3.07
Er: 0.1927 0.2463 0.4390  1 Ru 2.76, 1 Cu 3.07
Er: 0.1927 0.7537 0.9464  1 Ru 2.76, 1 Cu 3.07
Er: 0.8073 0.2463 0.0536  1 Ru 2.76, 1 Cu 3.07
Er: 0.6852 0.3546 0.6694  3 Ru 2.68-2.96
Er: 0.3148 0.6454 0.3306  3 Ru 2.68-2.96
Er: 0.3148 0.9842 0.6694  3 Ru 2.68-2.96
Er: 0.6852 0.0158 0.3306  3 Ru 2.68-2.96
Cu: 0.0000 0.5000 0.5000  8 Er 3.14-3.39
Cu: 0.0000 0.0000 0.0000  2 Ru 2.93, 8 Er 3.04-3.07
Ru: 0.5000 0.3725 0.8725  1 Ru 2.59, 2 Er 2.68
Ru: 0.5000 0.6275 0.1275  1 Ru 2.59, 2 Er 2.68
Ru: 0.6833 0.0000 0.6833  8 Er 2.76-2.96, 1 Cu 2.93
Ru: 0.3167 0.0000 0.3167  8 Er 2.76-2.96, 1 Cu 2.93

Crystal system = orthorhombic
ΔH_f (0 K) = -301 meV/atom
Symmetry = Immm (71)

***

Record 2
VASP calculation (GGA-PBE) on a geometry-optimized Er5Cu4Ru structure.

Cell: 3.4076 3.4076 17.2773 Å, 90.00 90.00 90.00°
Closest atoms and distances in Å follow each position.
Fractional positions:
Er: 0.5000 0.5000 0.0956  4 Ru 2.92, 4 Cu 3.00
Er: 0.5000 0.5000 0.2982  8 Cu 2.96-2.98
Er: 0.5000 0.5000 0.5000  8 Cu 2.96
Er: 0.5000 0.5000 0.7018  8 Cu 2.96-2.98
Er: 0.5000 0.5000 0.9044  4 Ru 2.92, 4 Cu 3.00
Cu: 0.0000 0.0000 0.1990  8 Er 2.96-3.00
Cu: 0.0000 0.0000 0.4001  8 Er 2.96-2.98
Cu: 0.0000 0.0000 0.5999  8 Er 2.96-2.98
Cu: 0.0000 0.0000 0.8010  8 Er 2.96-3.00
Ru: 0.0000 0.0000 0.0000  8 Er 2.92

Crystal system = tetragonal
ΔH_f (0 K) = -328 meV/atom
Symmetry = P4/mmm (123)

***

Record 3
VASP calculation (GGA-PBE) on a geometry-optimized Er2CuRu structure.

Cell: 3.3886 3.3886 6.9041 Å, 90.00 90.00 90.00°
Closest atoms and distances in Å follow each position.
Fractional positions:
Ru: 0.5000 0.5000 0.0000  8 Er 2.91
Cu: 0.5000 0.5000 0.5000  8 Er 2.99
Er: 0.0000 0.0000 0.7599  4 Ru 2.91, 4 Cu 2.99
Er: 0.0000 0.0000 0.2401  4 Ru 2.91, 4 Cu 2.99

Crystal system = tetragonal
ΔH_f (0 K) = -396 meV/atom
Symmetry = P4/mmm (123)

***

Record 4
VASP calculation (GGA-PBE) on a geometry-optimized Er4CuRu2 structure.

Cell: 4.7787 4.7787 8.2308 Å, 73.12 73.12 60.00°
Closest atoms and distances in Å follow each position.
Fractional positions:
Ru: 0.7475 0.7475 0.7576  8 Er 2.89-2.96
Ru: 0.2525 0.2525 0.2424  8 Er 2.89-2.96
Cu: 0.0000 0.0000 0.0000  8 Er 2.94-2.96
Er: 0.8729 0.8729 0.3812  4 Ru 2.92-2.96, 1 Cu 2.96
Er: 0.1271 0.1271 0.6188  4 Ru 2.92-2.96, 1 Cu 2.96
Er: 0.6224 0.6224 0.1327  4 Ru 2.89-2.91, 3 Cu 2.94
Er: 0.3776 0.3776 0.8673  4 Ru 2.89-2.91, 3 Cu 2.94

Crystal system = trigonal
ΔH_f (0 K) = -365 meV/atom
Symmetry = R-3m (166)

***

Record 5
VASP calculation (GGA-PBE) on a geometry-optimized Er2Cu2Ru structure.

Cell: 5.9187 5.9689 7.2969 Å, 114.14 113.93 90.00°
Closest atoms and distances in Å follow each position.
Fractional positions:
Er: 0.3553 0.6293 0.7107  2 Ru 2.80, 5 Cu 2.83-3.13
Er: 0.6447 0.3707 0.2893  2 Ru 2.80, 5 Cu 2.83-3.13
Er: 0.1447 0.9186 0.2893  2 Ru 2.80, 5 Cu 2.83-3.13
Er: 0.8553 0.0814 0.7107  2 Ru 2.80, 5 Cu 2.83-3.13
Cu: 0.8815 0.6298 0.7631  2 Ru 2.53, 1 Er 2.83
Cu: 0.1185 0.3702 0.2369  2 Ru 2.53, 1 Er 2.83
Cu: 0.6185 0.8667 0.2369  2 Ru 2.53, 1 Er 2.83
Cu: 0.3815 0.1333 0.7631  2 Ru 2.53, 1 Er 2.83
Ru: 0.7500 0.5000 0.0000  4 Cu 2.53, 4 Er 2.80
Ru: 0.2500 0.5000 0.0000  4 Cu 2.53, 4 Er 2.80

Crystal system = orthorhombic
ΔH_f (0 K) = -99 meV/atom
Symmetry = Ibam (72)

***

Record 6
VASP calculation (GGA-PBE) on a geometry-optimized Er8CuRu2 structure.

Cell: 4.8332 6.8225 8.9825 Å, 106.91 105.61 90.00°
Closest atoms and distances in Å follow each position.
Fractional positions:
Er: 0.4037 0.5368 0.8074  2 Ru 3.07, 1 Cu 3.10, 6 Er 3.27-3.38
Er: 0.6699 0.9653 0.3399  3 Ru 2.81-3.06, 1 Cu 3.02
Er: 0.7965 0.6842 0.5930  1 Ru 2.76
Er: 0.9668 0.2167 0.9336  1 Ru 2.85, 2 Cu 2.98
Er: 0.2035 0.3158 0.4070  1 Ru 2.76
Er: 0.3301 0.0347 0.6601  3 Ru 2.81-3.06, 1 Cu 3.02
Er: 0.5963 0.4632 0.1926  2 Ru 3.07, 1 Cu 3.10, 6 Er 3.27-3.38
Er: 0.0332 0.7833 0.0664  1 Ru 2.85, 2 Cu 2.98
Cu: 0.5000 0.0000 0.0000  8 Er 2.98-3.10
Ru: 0.8142 0.2952 0.6285  7 Er 2.76-3.07
Ru: 0.1858 0.7048 0.3715  7 Er 2.76-3.07

Crystal system = monoclinic
Relative energy among the computed polymorphs = 0.0000 eV per atom
ΔH_f (0 K) = -236 meV/atom
Symmetry = C2/m (12)

***

Record 7
VASP calculation (GGA-PBE) on a geometry-optimized ErCu2Ru structure.

Cell: 4.0107 3.9558 3.9558 Å, 90.00 90.00 90.00°
Closest atoms and distances in Å follow each position.
Fractional positions:
Ru: 0.5000 0.0000 0.0000  4 Er 2.80, 8 Cu 2.82
Cu: 0.0000 0.0000 0.5000  4 Cu 2.80, 4 Er 2.82, 4 Ru 2.82
Cu: 0.0000 0.5000 0.0000  4 Cu 2.80, 4 Er 2.82, 4 Ru 2.82
Er: 0.5000 0.5000 0.5000  4 Ru 2.80, 8 Cu 2.82

Crystal system = tetragonal
ΔH_f (0 K) = -114 meV/atom
Symmetry = P4/mmm (123)

***

Record 8
VASP calculation (GGA-PBE) on a geometry-optimized Er3CuRu structure.

Cell: 4.0657 6.4500 8.7901 Å, 89.84 90.00 90.00°
Closest atoms and distances in Å follow each position.
Fractional positions:
Er: 0.2500 0.7839 0.5586  3 Ru 2.93-3.11, 2 Cu 2.96
Er: 0.2500 0.2706 0.7494  2 Ru 2.77, 2 Cu 2.82
Er: 0.2500 0.7833 0.9422  3 Ru 2.93-3.11, 2 Cu 2.97
Er: 0.7500 0.2161 0.4414  3 Ru 2.93-3.11, 2 Cu 2.96
Er: 0.7500 0.2167 0.0578  3 Ru 2.93-3.11, 2 Cu 2.97
Er: 0.7500 0.7294 0.2506  2 Ru 2.77, 2 Cu 2.82
Cu: 0.7500 0.5741 0.7503  1 Ru 2.61, 2 Er 2.82
Cu: 0.2500 0.4259 0.2497  1 Ru 2.61, 2 Er 2.82
Ru: 0.2500 0.0210 0.2499  1 Cu 2.61, 2 Er 2.77
Ru: 0.7500 0.9790 0.7501  1 Cu 2.61, 2 Er 2.77

Crystal system = monoclinic
Relative energy among the computed polymorphs = 0.0220 eV per atom
ΔH_f (0 K) = -291 meV/atom
Symmetry = P2_1/m (11)

***

Which of these has the lowest ΔH_f (0 K)? Er2CuRu